Record 1
Computed, not measured: a crystal of P2RhSN relaxed with PBEsol at the SCAN level of DFT.

a b c (Å): 3.9892 3.9892 3.8933
angles (deg): 90.00 90.00 90.00
With the nearest neighbours (Å) after each atom.
Element x y z (fractional)
P  0.0000  0.5000  0.0000  2 N 1.99
P  0.5000  0.0000  0.0000  2 N 1.99
Rh  0.5000  0.5000  0.5000  8 P 2.79, 4 S 2.82
N  0.0000  0.0000  0.0000  2 S 1.95, 4 P 1.99
S  0.0000  0.0000  0.5000  2 N 1.95

Output
The value obtained for the size of the total moment is 0.000 μB/f.u. The value obtained for the total DFT energy (no corrections) is -13.738 eV/atom.

Record 2
Computed, not measured: a crystal of TeW3C relaxed with PBEsol at the SCAN level of DFT.

a b c (Å): 4.2099 4.2099 4.2099
angles (deg): 90.00 90.00 90.00
With the nearest neighbours (Å) after each atom.
Element x y z (fractional)
Te  0.5000  0.5000  0.5000  12 W 2.98
W  0.5000  0.0000  0.0000  2 C 2.10
W  0.0000  0.5000  0.0000  2 C 2.10
W  0.0000  0.0000  0.5000  2 C 2.10
C  0.0000  0.0000  0.0000  6 W 2.10

Output
The value obtained for the size of the total moment is 0.000 μB/f.u. The value obtained for the total DFT energy (no corrections) is -50.450 eV/atom.